DFT (PBE) results for crystalline Ho6Ni2Ru at its relaxed geometry.

Cell and atoms, written as POSCAR:
```
Ho6Ni2Ru
1.0
6.3728 0.0000 0.2358
0.0000 7.1267 0.0000
-0.4321 0.0000 9.8453
Ho Ni Ru
12 4 2
Cartesian
4.0851 3.2335 2.6416
2.0137 5.8576 4.2741
4.9932 4.7931 5.8369
0.9475 2.3336 4.2442
2.0228 5.8970 0.7964
3.9270 1.2692 5.8071
4.9840 4.8325 9.3146
0.6826 0.3299 7.4464
0.9566 2.2942 0.7665
5.2581 6.7968 2.6348
3.9179 1.2298 9.2848
1.8556 3.8932 7.4395
0.2489 4.4092 2.4763
5.6918 2.7175 7.6048
3.2193 6.2809 7.5168
2.7214 0.8458 2.5643
-0.2161 0.0000 4.9227
3.1864 3.5634 0.1179
```

Results
For the offset from the most stable computed form, the calculation gives 0.0510 eV per atom. The magnetic moment comes out at 0.000 μB/f.u. The density of states at the Fermi level is 7.4 states/eV/f.u. Its total energy is -101.50 eV per cell. The formation energy is -0.27 eV/atom. The calculation puts the mass density at 9.0 g/cm3.

---

DFT (PBE) results for crystalline KIrS at its relaxed geometry.

Cell and atoms, written as POSCAR:
```
KIrS
1.0
-0.4221 -3.9459 -1.4934
1.8810 -1.9990 4.7126
-4.5690 -2.2329 3.8289
K S Ir
2 2 2
Cartesian
-4.1331 -5.1267 3.8909
-3.0396 -4.2534 7.1792
-1.4665 -3.2925 4.6964
-1.2887 -1.2790 2.3135
-1.6432 -3.6023 2.4536
-0.9489 -5.5256 4.5247
```

Results
For the offset from the most stable computed form, the calculation gives 0.0379 eV per atom. The magnetic moment comes out at 0.000 μB/f.u. For the uncorrected formation energy, the calculation gives -96 kJ/mol of formula units. The density of states at the Fermi level is 0.2 states/eV/f.u. Its total energy is -30.16 eV per cell. The calculation puts the mass density at 6.6 g/cm3.

---

DFT (PBE) results for crystalline NdBi2Rh at its relaxed geometry.

Cell and atoms, written as POSCAR:
```
NdBi2Rh
1.0
4.4646 0.0000 -1.2382
-0.3434 4.4514 -1.2382
0.4660 0.5033 10.3484
Bi Rh Nd
4 2 2
Cartesian
1.6603 1.7933 5.9864
-0.1717 2.2257 -0.6191
2.2323 0.0000 -0.6191
2.9269 3.1614 1.8856
1.0916 3.5902 3.9360
3.4956 1.3645 3.9360
0.6842 0.7390 2.4670
3.9030 4.2157 5.4050
```

Results
The magnetic moment comes out at 0.000 μB/f.u. The density of states at the Fermi level is 3.8 states/eV/f.u. Its total energy is -44.32 eV per cell. The formation energy is -0.57 eV/atom. The calculation puts the mass density at 10.5 g/cm3.

---

DFT (PBE) results for crystalline Sb8Cl2O11 at its relaxed geometry.

Cell and atoms, written as POSCAR:
```
Sb8Cl2O11
1.0
-3.6440 -1.2373 10.0833
7.4649 -6.8238 5.4589
7.5099 9.4335 7.6669
O Cl Sb
44 8 32
Cartesian
10.2565 -3.2839 8.4229
10.7126 4.9052 12.6756
4.1127 0.3371 14.0263
10.6485 0.7450 12.0127
0.6824 0.6273 11.1964
3.0034 2.4134 14.9617
1.0839 0.4059 14.0906
6.0185 -5.8898 14.5512
7.2182 1.0353 9.1829
3.9984 -1.7643 5.5674
8.0720 -5.2633 7.6262
7.9084 -2.0836 17.3575
0.5272 -1.2104 9.5687
0.6183 -3.5329 10.5335
7.2901 5.2544 9.6264
7.3325 3.1367 17.6418
10.2632 5.3427 9.8239
12.0876 2.9699 10.8433
4.0408 -3.8820 13.5827
6.0292 6.3360 16.1214
5.5326 3.2705 7.9906
-0.7567 -1.5976 12.3658
5.6144 -0.9543 7.6022
10.2470 0.9665 9.1186
5.3017 -4.9636 7.0877
0.4109 2.8892 10.2544
8.3275 -1.0410 8.2474
7.6855 0.4063 16.6160
3.2589 6.6356 15.5829
1.0744 4.6562 14.7863
4.1488 4.5716 14.4201
10.9200 -1.5168 12.9547
1.0677 -3.9703 13.3852
7.1821 -3.1992 8.7890
3.6454 0.9660 6.5932
5.3124 7.2621 8.6579
2.9449 -1.8157 14.6062
5.7983 -1.8981 15.2185
7.7209 8.1333 10.0867
3.6100 -6.7609 13.1224
10.8037 2.5828 13.6404
5.7165 2.3267 15.6069
3.4224 3.4560 5.8516
8.3860 3.1880 8.6029
7.3456 0.7968 13.2486
0.2814 -1.0097 6.4606
4.2316 -3.4442 9.7780
11.0495 2.3821 16.7486
7.0993 4.8166 13.4312
3.8304 4.6643 10.5867
3.9853 0.5755 9.9605
7.5005 -3.2919 12.6224
5.3210 3.8511 18.3119
6.5449 -1.0100 9.3711
8.7095 1.0404 7.8034
10.2730 2.8314 11.6617
6.2521 6.8192 10.3793
5.0161 6.4083 14.3893
4.7860 2.3824 13.8380
6.3148 -5.0359 8.8198
8.5315 4.1288 19.1071
2.7994 -2.7564 4.1020
0.5480 1.0035 9.1572
1.2059 -0.0969 1.2073
10.1250 1.4692 22.0019
7.6977 2.2381 15.7949
3.5332 3.2729 7.9496
2.7539 4.3145 15.8752
0.5036 -2.9204 8.4771
6.0099 -2.4788 4.8973
1.0579 -1.4591 11.5475
0.9896 2.4796 12.1999
10.7829 0.3689 14.0520
4.7295 -1.7059 13.5243
2.6214 0.3320 15.4057
7.7977 -1.9005 15.2595
10.8273 4.2928 14.7321
6.6014 3.0783 9.6848
5.0788 -5.4468 12.8299
8.5770 -2.9421 7.3340
2.9083 1.7859 4.8409
3.6332 -0.8657 7.4142
10.3413 -1.1072 11.0093
8.4226 -0.4135 18.3682
```

Results
For the offset from the most stable computed form, the calculation gives 0.0000 eV per atom. The magnetic moment comes out at 0.000 μB/f.u. For the uncorrected formation energy, the calculation gives -2632 kJ/mol of formula units. The density of states at the Fermi level is 0.0 states/eV/f.u. Its total energy is -473.96 eV per cell. The calculation puts the mass density at 5.0 g/cm3.

---

DFT (PBE) results for crystalline Pm12CoSb6 at its relaxed geometry.

Cell and atoms, written as POSCAR:
```
Pm12CoSb6
1.0
8.7319 -0.0459 -0.0550
-1.3692 8.6240 -0.0550
-1.3692 -1.5952 8.4754
Pm Co Sb
12 1 6
Cartesian
0.3561 2.7309 4.6691
3.3482 2.5258 6.7773
5.6374 4.2520 3.6962
-1.3040 8.0277 2.5690
2.6453 4.4571 1.5881
8.1326 2.5405 0.3883
4.7154 8.1061 0.0078
7.2976 -1.0448 5.7964
1.9890 6.0084 4.8441
4.0045 0.9745 3.5213
1.2782 -1.1232 8.3576
-2.1391 4.4424 7.9771
0.0000 0.0000 0.0000
6.2332 1.9451 5.7653
-0.2396 5.0378 2.6000
5.0159 2.4640 0.9830
4.3185 6.9684 2.9440
0.9777 4.5189 7.3823
1.6751 0.0145 5.4213
```

Results
The magnetic moment comes out at 0.000 μB/f.u. For the uncorrected formation energy, the calculation gives -1189 kJ/mol of formula units. The density of states at the Fermi level is 16.0 states/eV/f.u. Its total energy is -101.17 eV per cell. The calculation puts the mass density at 6.6 g/cm3.

---

DFT (PBE) results for crystalline PrZr2S6 at its relaxed geometry.

Cell and atoms, written as POSCAR:
```
PrZr2S6
1.0
-4.1559 -2.2316 2.1028
-1.4537 -5.9933 -2.8911
2.1047 -4.9331 5.2666
S Zr Pr
6 2 1
Cartesian
-4.7037 -8.5587 0.6477
1.1989 -4.5993 3.8305
-2.1376 -5.4473 2.6789
-1.4409 -3.1889 0.1104
-2.0640 -9.9691 4.3679
-1.3672 -7.7107 1.7994
0.1449 -9.3344 3.0646
-3.6497 -3.8236 1.4136
0.3255 -5.4632 1.1877
```

Results
The magnetic moment comes out at 0.000 μB/f.u. For the uncorrected formation energy, the calculation gives -1240 kJ/mol of formula units. The density of states at the Fermi level is 1.7 states/eV/f.u. Its total energy is -59.49 eV per cell. The calculation puts the mass density at 3.7 g/cm3.